No. 1
VASP calculation (PBE) on an optimized crystal structure of HfTi2Tc.

Cell lengths 4.5762, 4.5762, 4.5762 Å; angles 60.00, 60.00, 60.00 degrees
Sites, in units of the cell vectors:
Hf  0.0000  0.0000  0.0000
Ti  0.2500  0.2500  0.2500
Ti  0.7500  0.7500  0.7500
Tc  0.5000  0.5000  0.5000

Properties
* crystal system: cubic
* energy relative to the lowest polymorph listed for this composition: 234 meV per atom
* M_tot: 0.000 μB/f.u.
* symmetry: Fm-3m, No. 225
* energy relative to the elements: -1.8 kcal/mol of atoms

***

No. 2
VASP calculation (PBE) on an optimized crystal structure of Ba6InF12.

Cell lengths 7.7604, 7.7604, 7.7604 Å; angles 101.05, 101.05, 101.05 degrees
Sites, in units of the cell vectors:
Ba  0.0789  0.6369  0.7848
Ba  0.2152  0.9211  0.3631
Ba  0.3631  0.2152  0.9211
Ba  0.6369  0.7848  0.0789
Ba  0.7848  0.0789  0.6369
Ba  0.9211  0.3631  0.2152
In  0.5000  0.5000  0.5000
F  0.0470  0.3176  0.9139
F  0.0861  0.9530  0.6824
F  0.1613  0.6212  0.4632
F  0.3176  0.9139  0.0470
F  0.3788  0.5368  0.8387
F  0.4632  0.1613  0.6212
F  0.5368  0.8387  0.3788
F  0.6212  0.4632  0.1613
F  0.6824  0.0861  0.9530
F  0.8387  0.3788  0.5368
F  0.9139  0.0470  0.3176
F  0.9530  0.6824  0.0861

Properties
* crystal system: trigonal
* M_tot: 1.000 μB/f.u.
* symmetry: R-3, No. 148
* formation energy (no corrections): -339 kJ per mole of atoms

***

No. 3
VASP calculation (PBE) on an optimized crystal structure of HfNpAu.

Cell lengths 5.4890, 5.4890, 6.2882 Å; angles 119.96, 119.96, 53.42 degrees
Sites, in units of the cell vectors:
Hf  0.0321  0.0321  0.2805
Hf  0.9679  0.9679  0.7195
Np  0.3724  0.3724  0.3039
Np  0.6276  0.6276  0.6961
Au  0.3277  0.3277  0.7970
Au  0.6723  0.6723  0.2030

Properties
* crystal system: monoclinic
* M_tot: 1.923 μB/f.u.
* symmetry: C2/m, No. 12
* energy relative to the elements: 0.8 kcal/mol of atoms

***

No. 4
VASP calculation (PBE) on an optimized crystal structure of Na10B13C7.

Cell lengths 4.9560, 7.6647, 9.0136 Å; angles 72.27, 89.97, 71.14 degrees
Sites, in units of the cell vectors:
Na  0.0000  0.0000  0.0000
Na  0.0979  0.8030  0.4926
Na  0.1993  0.6007  0.9972
Na  0.2993  0.4019  0.4938
Na  0.3989  0.2001  0.9998
Na  0.4967  0.0036  0.4936
Na  0.5982  0.8028  0.9966
Na  0.6986  0.6022  0.4954
Na  0.7994  0.4002  0.9983
Na  0.8981  0.2036  0.4921
B  0.0299  0.2998  0.7453
B  0.0788  0.5130  0.7457
B  0.1318  0.1015  0.2469
B  0.2628  0.0871  0.7461
B  0.3140  0.7019  0.2460
B  0.4858  0.7017  0.7462
B  0.5060  0.3136  0.2448
B  0.6277  0.1041  0.7461
B  0.6481  0.3167  0.7454
B  0.7179  0.8898  0.2472
B  0.7808  0.1014  0.2468
B  0.8900  0.8905  0.7466
B  0.9138  0.5020  0.2448
C  0.1799  0.3048  0.2448
C  0.2255  0.8918  0.7469
C  0.3832  0.8983  0.2478
C  0.4157  0.5119  0.7452
C  0.5736  0.5083  0.2440
C  0.8206  0.7015  0.7467
C  0.9797  0.6959  0.2459

Properties
* crystal system: triclinic
* energy relative to the lowest polymorph listed for this composition: 29 meV per atom
* M_tot: 0.000 μB/f.u.
* symmetry: P1, No. 1
* energy relative to the elements: 2.6 kcal/mol of atoms

***

No. 5
VASP calculation (PBE) on an optimized crystal structure of Nd2Sm4Sb3N2.

Cell lengths 13.3797, 13.3797, 13.3797 Å; angles 159.49, 159.49, 29.17 degrees
Sites, in units of the cell vectors:
Nd  0.1931  0.1931  0.0000
Nd  0.8069  0.8069  0.0000
Sm  0.0826  0.5826  0.5000
Sm  0.4174  0.9174  0.5000
Sm  0.5826  0.0826  0.5000
Sm  0.9174  0.4174  0.5000
Sb  0.3223  0.3223  0.0000
Sb  0.5000  0.5000  0.0000
Sb  0.6777  0.6777  0.0000
N  0.1023  0.1023  0.0000
N  0.8977  0.8977  0.0000

Properties
* crystal system: tetragonal
* M_tot: 0.000 μB/f.u.
* symmetry: I4/mmm, No. 139
* formation energy (no corrections): -112 kJ per mole of atoms

***

No. 6
VASP calculation (PBE) on an optimized crystal structure of GaAgPb.

Cell lengths 4.1208, 4.1208, 8.0334 Å; angles 90.00, 90.00, 90.00 degrees
Sites, in units of the cell vectors:
Ga  0.2500  0.7500  0.0000
Ga  0.7500  0.2500  0.0000
Ag  0.2500  0.2500  0.2336
Ag  0.7500  0.7500  0.7664
Pb  0.2500  0.2500  0.6244
Pb  0.7500  0.7500  0.3756

Properties
* crystal system: tetragonal
* M_tot: 0.000 μB/f.u.
* symmetry: P4/nmm, No. 129
* energy relative to the elements: 1.0 kcal/mol of atoms